Below is La3Pm2Tm4 after structural relaxation, with properties calculated at the GGA-PBE level.

Output
For the formation energy, the calculation gives 66.6 meV/atom. As for the electronic total energy: -83.14 eV/cell. Its distance to the lowest polymorph of the same formula is 0.000 eV/atom.

Lattice parameters (Å, degrees): 9.9168 17.2129 3.5141 90.00 90.00 90.00
Space group Cmmm (No. 65)
Asymmetric unit:
La 0.0000 0.0000 0.0000
La 0.0000 0.3264 0.0000
Pm 0.1652 0.5000 0.5000
Tm 0.1669 0.1664 0.5000



Below is Cr2InSn2 after structural relaxation, with properties calculated at the GGA-PBE level.

Output
For the formation energy, the calculation gives 335.9 meV/atom. As for the electronic total energy: -56.62 eV/cell.

Lattice parameters (Å, degrees): 7.1879 7.1879 3.8335 90.00 90.00 90.00
Space group P4/mbm (No. 127)
Asymmetric unit:
Cr 0.1408 0.3592 0.0000
In 0.0000 0.0000 0.0000
Sn 0.1592 0.6592 0.5000



Below is CsSrInF2 after structural relaxation, with properties calculated at the GGA-PBE level.

Output
As for the electronic total energy: -14.22 eV/cell. As for the energy relative to the elements, uncorrected: -1.04 eV per atom.

Lattice parameters (Å, degrees): 5.2897 5.2897 6.3531 90.00 90.00 90.00
Space group P4/mmm (No. 123)
Asymmetric unit:
Cs 0.0000 0.0000 0.0000
Sr 0.5000 0.5000 0.0000
In 0.5000 0.5000 0.5000
F 0.0000 0.5000 0.5000



Below is Pm3Hg2Au8 after structural relaxation, with properties calculated at the GGA-PBE level.

Output
For the formation energy, the calculation gives -394.3 meV/atom. As for the electronic total energy: -138.60 eV/cell.

Lattice parameters (Å, degrees): 5.4759 5.4759 36.8996 90.00 90.00 120.00
Space group R-3m (No. 166, hexagonal axes)
Asymmetric unit:
Pm 0.0000 0.0000 0.0000
Pm 0.0000 0.0000 0.2390
Hg 0.0000 0.0000 0.3926
Au 0.0000 0.0000 0.3173
Au 0.0037 0.5018 0.7989



Below is FeCoGe4 after structural relaxation, with properties calculated at the GGA-PBE level.

Output
For the formation energy, the calculation gives -33.5 meV/atom. As for the electronic total energy: -136.96 eV/cell. Its distance to the lowest polymorph of the same formula is 0.020 eV/atom.

Lattice parameters (Å, degrees): 5.7367 5.7367 10.3876 90.00 90.00 90.00
Space group I4/mcm (No. 140)
Asymmetric unit:
Fe 0.0000 0.0000 0.0000
Co 0.0000 0.0000 0.2500
Ge 0.1590 0.3410 0.1284



Below is Pm3NpTl4Te8 after structural relaxation, with properties calculated at the GGA-PBE level.

Output
As for the electronic total energy: -230.58 eV/cell. As for the energy relative to the elements, uncorrected: -0.94 eV per atom.

Lattice parameters (Å, degrees): 9.0717 9.0717 24.4860 90.00 90.00 120.00
Space group R-3m (No. 166, hexagonal axes)
Asymmetric unit:
Pm 0.0000 0.5000 0.0000
Np 0.0000 0.0000 0.0000
Tl 0.0000 0.0000 0.5000
Tl 0.0000 0.5000 0.5000
Te 0.0000 0.0000 0.2601
Te 0.0017 0.5009 0.7392